MnSb2TeO, optimized geometry, DFT PBE with a Hubbard U; SG = P4/mmm; relative energy among the computed polymorphs = 1.119 eV per atom; energy = -17.7 eV per cell; DOS at the Fermi energy = 1.18 states/eV per atom; crystal system = tetragonal
1.0
4.937 0.000 0.000
0.000 4.937 0.000
0.000 0.000 4.919
Mn Sb Te O
1 2 1 1
direct
0.000 0.000 0.000
0.000 0.500 0.000
0.500 0.000 0.000
0.000 0.000 0.500
0.500 0.500 0.500